DFT (GGA-PBE) results for LuPaTl after structural relaxation.

Calculated values
The calculation puts the relative energy among the computed polymorphs at 0 meV per atom. As for the total energy: -4.890 eV per atom. As for the space group: F-43m.

Geometry as CIF:
```
data_LuPaTl
_chemical_formula_sum 'Lu4 Pa4 Tl4'
_symmetry_space_group_name_H-M 'P 1'
_symmetry_Int_Tables_number 1
_cell_length_a 7.2268
_cell_length_b 7.2268
_cell_length_c 7.2268
_cell_angle_alpha 90.00
_cell_angle_beta 90.00
_cell_angle_gamma 90.00
loop_
_symmetry_equiv_pos_as_xyz
'x,y,z'
loop_
_atom_site_label
_atom_site_type_symbol
_atom_site_fract_x
_atom_site_fract_y
_atom_site_fract_z
Lu1 Lu 0.0000 0.0000 0.0000
Lu2 Lu 0.0000 0.5000 0.5000
Lu3 Lu 0.5000 0.0000 0.5000
Lu4 Lu 0.5000 0.5000 0.0000
Pa1 Pa 0.0000 0.0000 0.5000
Pa2 Pa 0.0000 0.5000 0.0000
Pa3 Pa 0.5000 0.0000 0.0000
Pa4 Pa 0.5000 0.5000 0.5000
Tl1 Tl 0.2500 0.2500 0.2500
Tl2 Tl 0.2500 0.7500 0.7500
Tl3 Tl 0.7500 0.2500 0.7500
Tl4 Tl 0.7500 0.7500 0.2500
```